An optimized crystal structure of Tb4PbSe2, computed with PBE-GGA.

Cell lengths 6.942, 6.942, 13.813 Å; angles 90.00, 90.00, 144.44 degrees
Sites, in units of the cell vectors:
1 Tb 0.000 0.000 0.000
2 Tb 0.000 0.000 0.500
3 Tb 0.268 0.732 0.622
4 Tb 0.268 0.732 0.878
5 Tb 0.437 0.563 0.250
6 Tb 0.563 0.437 0.750
7 Tb 0.732 0.268 0.122
8 Tb 0.732 0.268 0.378
9 Pb 0.109 0.891 0.250
10 Pb 0.891 0.109 0.750
11 Se 0.365 0.635 0.059
12 Se 0.365 0.635 0.441
13 Se 0.635 0.365 0.559
14 Se 0.635 0.365 0.941

Results
The magnetization is 0.000 μB/atom. Its calculated density is 8.59 g cm⁻³. Its formation energy (no corrections) is -1.19 eV per atom. As for the density of states at the Fermi level: 5.3 states/eV/f.u.